No. 1
# AuSF PBE optimized geometry
data_AuSF
_cell_length_a 4.428
_cell_length_b 4.500
_cell_length_c 6.390
_cell_angle_alpha 92.39
_cell_angle_beta 96.76
_cell_angle_gamma 97.99
_symmetry_space_group_name_H-M 'P 1'
_symmetry_Int_Tables_number 1
loop_
_symmetry_equiv_pos_as_xyz
'x,y,z'
loop_
_atom_site_label
_atom_site_type_symbol
_atom_site_fract_x
_atom_site_fract_y
_atom_site_fract_z
Au1 Au 0.000 0.000 0.000
Au2 Au 0.479 0.943 0.512
S1 S 0.159 0.237 0.318
S2 S 0.452 0.594 0.231
F1 F 0.482 0.220 0.775
F2 F 0.847 0.772 0.703
# size of the total moment = 0.0 μB/cell
# formation energy without anion corrections = -144 kJ/mol of formula units
# density = 6.59 Mg/m³

No. 2
# AuS5F PBE optimized geometry
data_AuS5F
_cell_length_a 4.463
_cell_length_b 5.665
_cell_length_c 9.192
_cell_angle_alpha 74.07
_cell_angle_beta 87.32
_cell_angle_gamma 82.28
_symmetry_space_group_name_H-M 'P 1'
_symmetry_Int_Tables_number 1
loop_
_symmetry_equiv_pos_as_xyz
'x,y,z'
loop_
_atom_site_label
_atom_site_type_symbol
_atom_site_fract_x
_atom_site_fract_y
_atom_site_fract_z
Au1 Au 0.000 0.000 0.000
S1 S 0.173 0.592 0.999
S2 S 0.185 0.093 0.550
S3 S 0.498 0.293 0.412
S4 S 0.808 0.349 0.556
S5 S 0.827 0.409 0.999
F1 F 0.500 0.999 0.003
# size of the total moment = 0.3 μB/cell
# formation energy without anion corrections = -73 kJ/mol of formula units
# density = 2.82 Mg/m³

No. 3
# AuS2F PBE optimized geometry
data_AuS2F
_cell_length_a 5.557
_cell_length_b 5.557
_cell_length_c 11.328
_cell_angle_alpha 90.00
_cell_angle_beta 90.00
_cell_angle_gamma 90.00
_symmetry_space_group_name_H-M 'I -4 2 d'
_symmetry_Int_Tables_number 122
_symmetry_space_group_name_Hall 'I -4 2bw'
loop_
_atom_site_label
_atom_site_type_symbol
_atom_site_fract_x
_atom_site_fract_y
_atom_site_fract_z
Au1 Au 0.000 0.000 0.000
S1 S 0.228 0.250 0.125
F1 F 0.000 0.000 0.500
# size of the total moment = 3.8 μB/cell
# formation energy without anion corrections = 127 kJ/mol of formula units
# density = 5.32 Mg/m³
# E above lowest polymorph = 0.771 eV/atom

No. 4
# AuSF2 PBE optimized geometry
data_AuSF2
_cell_length_a 6.016
_cell_length_b 6.016
_cell_length_c 6.016
_cell_angle_alpha 90.00
_cell_angle_beta 90.00
_cell_angle_gamma 90.00
_symmetry_space_group_name_H-M 'F m -3 m'
_symmetry_Int_Tables_number 225
_symmetry_space_group_name_Hall '-F 4 2 3'
loop_
_atom_site_label
_atom_site_type_symbol
_atom_site_fract_x
_atom_site_fract_y
_atom_site_fract_z
Au1 Au 0.000 0.000 0.000
S1 S 0.000 0.000 0.500
F1 F 0.250 0.250 0.250
# size of the total moment = 3.5 μB/cell
# formation energy without anion corrections = 58 kJ/mol of formula units
# density = 8.15 Mg/m³
# E above lowest polymorph = 0.793 eV/atom